LiCeGa2Br6 after structural relaxation. Source: Alexandria via LeMat-Bulk, functional PBE.

M_tot in μB/atom: 0.10
ΔE_f (raw) in eV per atom: -1.225

abc: 7.458 7.828 12.932
angles: 90.00 123.24 90.00
Space group P2_1/c (No. 14)
One atom of each set of equivalent atoms:
1 Li 0.000 0.000 0.000 [2 per cell]
2 Ce 0.500 0.000 0.500 [2 per cell]
3 Ga 0.193 0.095 0.715 [4 per cell]
4 Br 0.125 0.193 0.451 [4 per cell]
5 Br 0.236 0.692 0.430 [4 per cell]
6 Br 0.372 0.034 0.243 [4 per cell]